[1]
The following is a PBE calculation of an optimized crystal structure of TaOsSe2, from the Alexandria database.

Cell lengths 7.020, 7.020, 4.341 Å; angles 96.26, 96.26, 26.19 degrees
Fractional positions:
Ta1 0.000 0.000 0.000
Os1 0.500 0.500 0.500
Se1 0.352 0.352 0.777
Se2 0.648 0.648 0.223

ΔE_f (raw) = -0.1 eV/f.u.
Calculated total energy = -7.547 eV per atom
Distance to the lowest polymorph of the same formula = 0.125 eV/atom
Calculated density = 9.4 Mg/m³
Symmetry = C2/m
Total moment = 0.02 μB/f.u.
Fermi-level density of states = 3.28 states/eV/f.u.

[2]
The following is a PBE calculation of an optimized crystal structure of CrSN2, from the Alexandria database.

Cell lengths 6.119, 6.119, 6.119 Å; angles 26.40, 26.40, 26.40 degrees
Fractional positions:
Cr1 0.000 0.000 0.000
S1 0.500 0.500 0.500
N1 0.397 0.397 0.397
N2 0.603 0.603 0.603

ΔE_f (raw) = 1.3 eV/f.u.
Calculated total energy = -7.271 eV per atom
Calculated density = 4.7 Mg/m³
Symmetry = R-3m
Total moment = 0.00 μB/f.u.
Fermi-level density of states = 3.39 states/eV/f.u.

[3]
The following is a PBE calculation of an optimized crystal structure of TbY2BeC2, from the Alexandria database.

Cell lengths 5.444, 10.926, 3.651 Å; angles 90.00, 90.00, 90.00 degrees
Fractional positions:
Tb1 0.000 0.000 0.000
Tb2 0.500 0.500 0.500
Y1 0.003 0.295 0.500
Y2 0.497 0.795 0.000
Y3 0.503 0.205 0.000
Y4 0.997 0.705 0.500
Be1 0.000 0.500 0.000
Be2 0.500 0.000 0.500
C1 0.231 0.609 0.000
C2 0.269 0.109 0.500
C3 0.731 0.891 0.500
C4 0.769 0.391 0.000

Calculated total energy = -6.776 eV per atom
Calculated density = 5.7 Mg/m³
Symmetry = Pnnm
Total moment = 0.00 μB/f.u.
E_form = -0.93 eV/f.u.
Fermi-level density of states = 3.72 states/eV/f.u.

> Number 1 is which compound?

TaOsSe2